## 1
The following is a DFT calculation (PBEsol) of a geometry-optimized CoReRh structure.

a b c (Å): 4.007 4.007 4.007
angles (deg): 60.00 60.00 60.00
Atoms (fractional coordinates):
Co 0.000 0.000 0.000
Re 0.750 0.750 0.750
Rh 0.500 0.500 0.500


## 2
The following is a DFT calculation (PBEsol) of a geometry-optimized CoReRh structure.

a b c (Å): 4.534 4.534 4.534
angles (deg): 146.19 132.37 59.68
Atoms (fractional coordinates):
Co 0.000 0.000 0.000
Re 0.657 0.657 0.000
Rh 0.330 0.330 0.000


Relative to the most stable one, in meV/atom, the structures come out at 1 666; 2 0.